Record 1
DFT (PBE) results for a relaxed structure of ZrRh3.

Its total energy is -7.6818 eV/atom. For the volume, the calculation gives 17.10 Å³ per atom.

a b c (Å): 5.375 5.375 4.734
angles (deg): 90.00 90.00 90.79
Element x y z (fractional)
Zr: 0.397 0.603 0.750
Zr: 0.603 0.397 0.250
Rh: 0.930 0.070 0.250
Rh: 0.070 0.930 0.750
Rh: 0.424 0.917 0.250
Rh: 0.576 0.083 0.750
Rh: 0.083 0.576 0.250
Rh: 0.917 0.424 0.750



Record 2
DFT (PBE) results for a relaxed structure of K3TaSe.

Its total energy is -2.5451 eV/atom. For the uncorrected formation energy, the calculation gives 1.18 eV/atom. For the volume, the calculation gives 52.11 Å³ per atom.

a b c (Å): 6.387 6.387 6.387
angles (deg): 90.00 90.00 90.00
Site moments in Bohr magnetons follow the coordinates.
Element x y z (fractional)
K: 0.000 0.500 0.000  0.04
K: 0.000 0.000 0.500  0.05
K: 0.500 0.000 0.000  0.03
Se: 0.500 0.500 0.500  -0.17
Ta: 0.000 0.000 0.000  2.46



Record 3
DFT (PBE) results for a relaxed structure of YCd2Au.

Its total energy is -3.2617 eV/atom. For the volume, the calculation gives 21.70 Å³ per atom.

a b c (Å): 4.970 4.970 4.970
angles (deg): 60.00 60.00 60.00
Element x y z (fractional)
Y: 0.000 0.000 0.000
Au: 0.500 0.500 0.500
Cd: 0.250 0.250 0.250
Cd: 0.750 0.750 0.750



Record 4
DFT (PBE) results for a relaxed structure of Sm2Sn4Bi.

Its total energy is -4.5868 eV/atom. For the volume, the calculation gives 30.08 Å³ per atom.

a b c (Å): 6.689 6.689 6.655
angles (deg): 119.92 119.92 90.24
Element x y z (fractional)
Sm: 0.286 0.786 0.571
Sm: 0.786 0.286 0.571
Sn: 0.786 0.786 0.072
Sn: 0.286 0.286 0.071
Sn: 0.786 0.286 0.071
Sn: 0.286 0.786 0.071
Bi: 0.786 0.786 0.571



Record 5
DFT (PBE) results for a relaxed structure of Cd2BiRh.

Its total energy is -3.0928 eV/atom. For the volume, the calculation gives 24.34 Å³ per atom.

a b c (Å): 8.569 8.569 6.614
angles (deg): 49.62 49.62 90.00
Element x y z (fractional)
Rh: 0.500 0.500 0.000
Rh: 0.250 0.750 0.500
Bi: 0.000 0.000 0.000
Bi: 0.750 0.250 0.500
Cd: 0.560 0.125 0.250
Cd: 0.190 0.625 0.250
Cd: 0.375 0.440 0.750
Cd: 0.875 0.810 0.750



Record 6
DFT (PBE) results for a relaxed structure of AcPuN.

Its total energy is -8.9198 eV/atom. For the uncorrected formation energy, the calculation gives 0.00 eV/atom. For the volume, the calculation gives 21.59 Å³ per atom.

a b c (Å): 4.508 4.508 4.508
angles (deg): 60.00 60.00 60.00
Site moments in Bohr magnetons follow the coordinates.
Element x y z (fractional)
Ac: 0.500 0.500 0.500  0.25
N: 0.250 0.250 0.250  -0.11
Pu: 0.000 0.000 0.000  5.56